[1]
A plane-wave DFT calculation with GGA-PBE was carried out for a relaxed structure of SmHoSbO2.

Unit cell a=3.891 b=3.891 c=7.284 alpha=105.49 beta=105.49 gamma=90.00
Element x y z (fractional)
Sm  0.837  0.837  0.673
Sb  0.503  0.503  0.006
O  0.247  0.747  0.494
O  0.747  0.247  0.494
Ho  0.167  0.167  0.334

Symmetry: I4mm
Formation energy from raw total energies: -2.679 eV/atom
Magnetization: 0.00 μB/f.u.

=====

[2]
A plane-wave DFT calculation with GGA-PBE was carried out for a relaxed structure of LiLu2Ga.

Unit cell a=5.036 b=5.036 c=5.036 alpha=60.00 beta=60.00 gamma=60.00
Element x y z (fractional)
Ga  0.250  0.250  0.250
Li  0.750  0.750  0.750
Lu  0.000  0.000  0.000
Lu  0.500  0.500  0.500

Symmetry: Fm-3m
Magnetization: 0.00 μB/f.u.
Energy of formation from the pure elements: -0.30 eV per atom

=====

[3]
A plane-wave DFT calculation with GGA-PBE was carried out for a relaxed structure of LiNiW2Cl.

Unit cell a=4.447 b=3.715 c=4.447 alpha=90.00 beta=90.00 gamma=90.00
Element x y z (fractional)
Cl  0.000  0.500  0.000
Li  0.000  0.000  0.000
Ni  0.500  0.500  0.500
W  0.000  0.000  0.500
W  0.500  0.000  0.000

Symmetry: P4/mmm
Formation energy from raw total energies: 1.832 eV/atom
Magnetization: 0.00 μB/f.u.

=====

[4]
A plane-wave DFT calculation with GGA-PBE was carried out for a relaxed structure of InSb7.

Unit cell a=6.782 b=6.782 c=6.782 alpha=60.00 beta=60.00 gamma=60.00
Element x y z (fractional)
Sb  0.500  0.000  0.000
Sb  0.500  0.500  0.000
Sb  0.000  0.000  0.500
Sb  0.500  0.000  0.500
Sb  0.000  0.500  0.500
Sb  0.000  0.500  0.000
Sb  0.500  0.500  0.500
In  0.000  0.000  0.000

Symmetry: Fm-3m
Formation energy from raw total energies: 0.270 eV/atom
Magnetization: 0.00 μB/f.u.

=====

[5]
A plane-wave DFT calculation with GGA-PBE was carried out for a relaxed structure of Ba2Fe2N3.

Unit cell a=5.928 b=6.176 c=7.080 alpha=90.00 beta=93.45 gamma=90.00
Element x y z (fractional)
Fe  0.300  0.414  0.652
Fe  0.200  0.914  0.848
Fe  0.800  0.086  0.152
Fe  0.700  0.586  0.348
N  0.500  0.500  0.500
N  0.000  0.000  0.000
N  0.707  0.859  0.276
N  0.793  0.359  0.224
N  0.207  0.641  0.776
N  0.293  0.141  0.724
Ba  0.733  0.651  0.898
Ba  0.767  0.151  0.602
Ba  0.267  0.349  0.102
Ba  0.233  0.849  0.398

Symmetry: P2_1/c
Formation energy from raw total energies: -0.436 eV/atom
Magnetization: 0.00 μB/f.u.

=====

[6]
A plane-wave DFT calculation with GGA-PBE was carried out for a relaxed structure of CaPmCu2.

Unit cell a=3.580 b=3.580 c=7.142 alpha=90.00 beta=90.00 gamma=90.00
Element x y z (fractional)
Cu  0.000  0.000  0.775
Cu  0.000  0.000  0.225
Pm  0.500  0.500  0.000
Ca  0.500  0.500  0.500

Symmetry: P4/mmm
Relative energy among the computed polymorphs: 0.026 eV/atom
Magnetization: 0.00 μB/f.u.
Energy of formation from the pure elements: -0.13 eV per atom

=====

> What is the magnetization in the third record?

0.00 μB/f.u.